No. 1
Computed, not measured: SnTe2HI after structural relaxation at the PBE level of DFT.

Summary:
Uncorrected energy (eV for the cell shown): -11.7
Fermi-level density of states (states/eV/cell): 7.59
Excess energy over the best structure of this formula in the dataset (eV per atom): 0.443
Total magnetization (μB per cell): 0.4
Space group: P4/mmm, No. 123

Lattice parameters (Å, degrees): 5.7707 5.7707 6.1506 90.00 90.00 90.00
Last column: magnetic moment on the atom in μB.
Element x y z (fractional)
I  0.0000  0.0000  0.5000  -0.06
H  0.5000  0.5000  0.5000  0.37
Te  0.0000  0.5000  0.0000  -0.14
Te  0.5000  0.0000  0.0000  -0.14
Sn  0.0000  0.0000  0.0000  0.01

---

No. 2
Computed, not measured: SnTe2HI after structural relaxation at the PBE level of DFT.

Summary:
Uncorrected energy (eV for the cell shown): -13.9
Fermi-level density of states (states/eV/cell): 1.17
Excess energy over the best structure of this formula in the dataset (eV per atom): 0.000
Total magnetization (μB per cell): 0.0
Space group: P4/mmm, No. 123

Lattice parameters (Å, degrees): 4.5640 4.5640 6.3838 90.00 90.00 90.00
Element x y z (fractional)
I  0.0000  0.0000  0.5000
H  0.0000  0.0000  0.0000
Te  0.0000  0.5000  0.0000
Te  0.5000  0.0000  0.0000
Sn  0.5000  0.5000  0.5000

---

No. 3
Computed, not measured: SrHI after structural relaxation at the PBE level of DFT.

Summary:
Uncorrected energy (eV for the cell shown): -18.1
Total magnetization (μB per cell): 0.0
Space group: I4/mmm, No. 139

Lattice parameters (Å, degrees): 5.1577 5.1579 7.7657 70.60 70.61 90.00
Element x y z (fractional)
Sr  0.2429  0.1830  0.4312
Sr  0.5656  0.5058  0.7858
H  0.1542  0.5947  0.6085
H  0.6543  0.0945  0.6085
I  0.4042  0.8442  0.1085
I  0.9042  0.3442  0.1085

---

No. 4
Computed, not measured: SrHI2 after structural relaxation at the PBE level of DFT.

Summary:
Uncorrected energy (eV for the cell shown): -20.9
Fermi-level density of states (states/eV/cell): 0.00
Total magnetization (μB per cell): 2.0
Space group: I-42d, No. 122

Lattice parameters (Å, degrees): 6.9292 6.9292 9.4834 68.57 68.57 90.00
Last column: magnetic moment on the atom in μB.
Element x y z (fractional)
I  0.6258  0.1250  0.2500  0.04
I  0.1242  0.6250  0.2500  0.04
I  0.3750  0.3742  0.7500  0.04
I  0.8750  0.8758  0.7500  0.04
Sr  0.0000  0.0000  0.0000  0.00
Sr  0.7500  0.2500  0.5000  0.00
H  0.5000  0.5000  0.0000  0.36
H  0.2500  0.7500  0.5000  0.36

---

No. 5
Computed, not measured: SrHI after structural relaxation at the PBE level of DFT.

Summary:
Uncorrected energy (eV for the cell shown): -9.0
Fermi-level density of states (states/eV/cell): 0.00
Total magnetization (μB per cell): 0.0
Space group: I4mm, No. 107

Lattice parameters (Å, degrees): 3.8136 3.8136 6.2299 107.82 107.82 90.00
Element x y z (fractional)
I  0.0115  0.0115  0.0230
Sr  0.7138  0.7138  0.4276
H  0.2747  0.2747  0.5494

---

No. 6
Computed, not measured: SrHI2 after structural relaxation at the PBE level of DFT.

Summary:
Uncorrected energy (eV for the cell shown): -10.9
Fermi-level density of states (states/eV/cell): 0.00
Total magnetization (μB per cell): 1.0
Space group: Fm-3m, No. 225

Lattice parameters (Å, degrees): 5.6921 5.6921 5.6921 60.00 60.00 60.00
Last column: magnetic moment on the atom in μB.
Element x y z (fractional)
I  0.2500  0.2500  0.2500  0.04
I  0.7500  0.7500  0.7500  0.04
Sr  0.5000  0.5000  0.5000  0.00
H  0.0000  0.0000  0.0000  0.36

---

No. 7
Computed, not measured: SrHI2 after structural relaxation at the PBE level of DFT.

Summary:
Uncorrected energy (eV for the cell shown): -21.7
Fermi-level density of states (states/eV/cell): 0.00
Total magnetization (μB per cell): 1.9
Space group: Cmcm, No. 63

Lattice parameters (Å, degrees): 4.8270 6.4939 11.1906 90.00 102.45 90.00
Last column: magnetic moment on the atom in μB.
Element x y z (fractional)
Sr  0.8280  0.2500  0.6560  0.00
Sr  0.1720  0.7500  0.3440  0.00
H  0.0510  0.2500  0.1020  0.37
H  0.9490  0.7500  0.8980  0.37
I  0.2148  0.2500  0.4297  0.01
I  0.7852  0.7500  0.5703  0.01
I  0.4217  0.2500  0.8433  0.00
I  0.5783  0.7500  0.1567  0.00

---

No. 8
Computed, not measured: SrHI3 after structural relaxation at the PBE level of DFT.

Summary:
Uncorrected energy (eV for the cell shown): -11.6
Fermi-level density of states (states/eV/cell): 2.63
Excess energy over the best structure of this formula in the dataset (eV per atom): 0.564
Total magnetization (μB per cell): 0.0
Space group: Pm-3m, No. 221

Lattice parameters (Å, degrees): 5.3639 5.3639 5.3639 90.00 90.00 90.00
Element x y z (fractional)
I  0.0000  0.5000  0.0000
I  0.0000  0.0000  0.5000
I  0.5000  0.0000  0.0000
Sr  0.5000  0.5000  0.5000
H  0.0000  0.0000  0.0000

---

No. 9
Computed, not measured: Sr3HI after structural relaxation at the PBE level of DFT.

Summary:
Uncorrected energy (eV for the cell shown): -11.3
Fermi-level density of states (states/eV/cell): 5.12
Excess energy over the best structure of this formula in the dataset (eV per atom): 0.000
Total magnetization (μB per cell): 0.0
Space group: Pm-3m, No. 221

Lattice parameters (Å, degrees): 5.6282 5.6282 5.6282 90.00 90.00 90.00
Element x y z (fractional)
I  0.5000  0.5000  0.5000
Sr  0.0000  0.5000  0.0000
Sr  0.0000  0.0000  0.5000
Sr  0.5000  0.0000  0.0000
H  0.0000  0.0000  0.0000

---

No. 10
Computed, not measured: SrHI3 after structural relaxation at the PBE level of DFT.

Summary:
Uncorrected energy (eV for the cell shown): -57.8
Fermi-level density of states (states/eV/cell): 0.00
Excess energy over the best structure of this formula in the dataset (eV per atom): 0.000
Total magnetization (μB per cell): 0.0
Space group: Pna2_1, No. 33

Lattice parameters (Å, degrees): 7.8590 8.6747 10.6446 90.00 90.00 90.00
Element x y z (fractional)
Sr  0.0709  0.1262  0.7054
Sr  0.4291  0.6262  0.7054
Sr  0.5709  0.3738  0.2054
Sr  0.9291  0.8738  0.2054
H  0.3053  0.9624  0.0602
H  0.6947  0.0376  0.5602
H  0.1947  0.4624  0.0602
H  0.8053  0.5376  0.5602
I  0.8148  0.1528  0.4044
I  0.8345  0.1729  0.0269
I  0.1852  0.8472  0.9044
I  0.1655  0.8271  0.5269
I  0.3345  0.3271  0.5269
I  0.6552  0.9699  0.7140
I  0.6655  0.6729  0.0269
I  0.8448  0.4699  0.7140
I  0.6852  0.6528  0.4044
I  0.3148  0.3472  0.9044
I  0.1552  0.5301  0.2140
I  0.3448  0.0301  0.2140

---

No. 11
Computed, not measured: SrH3I after structural relaxation at the PBE level of DFT.

Summary:
Uncorrected energy (eV for the cell shown): -10.5
Fermi-level density of states (states/eV/cell): 1.17
Excess energy over the best structure of this formula in the dataset (eV per atom): 0.289
Total magnetization (μB per cell): 0.0
Space group: Pm-3m, No. 221

Lattice parameters (Å, degrees): 4.4734 4.4734 4.4734 90.00 90.00 90.00
Element x y z (fractional)
I  0.0000  0.0000  0.0000
Sr  0.5000  0.5000  0.5000
H  0.0000  0.5000  0.0000
H  0.0000  0.0000  0.5000
H  0.5000  0.0000  0.0000

---

No. 12
Computed, not measured: Sr2H3I after structural relaxation at the PBE level of DFT.

Summary:
Uncorrected energy (eV for the cell shown): -39.9
Fermi-level density of states (states/eV/cell): 0.00
Excess energy over the best structure of this formula in the dataset (eV per atom): 0.034
Total magnetization (μB per cell): 0.0
Space group: C2/m, No. 12

Lattice parameters (Å, degrees): 4.2313 8.3694 8.1847 113.18 90.00 104.64
Element x y z (fractional)
Sr  0.4736  0.9473  0.7176
Sr  0.5264  0.0527  0.2824
Sr  0.8074  0.6148  0.3517
Sr  0.1926  0.3852  0.6483
H  0.3108  0.6217  0.5423
H  0.9408  0.8817  0.6071
H  0.6001  0.2002  0.6341
H  0.3999  0.7998  0.3659
H  0.0592  0.1183  0.3929
H  0.6892  0.3783  0.4577
I  0.8638  0.7277  0.9575
I  0.1362  0.2723  0.0425

---

No. 13
Computed, not measured: SrHI3 after structural relaxation at the PBE level of DFT.

Summary:
Uncorrected energy (eV for the cell shown): -11.4
Fermi-level density of states (states/eV/cell): 7.65
Excess energy over the best structure of this formula in the dataset (eV per atom): 0.608
Total magnetization (μB per cell): 2.0
Space group: Pm-3m, No. 221

Lattice parameters (Å, degrees): 6.4856 6.4856 6.4856 90.00 90.00 90.00
Last column: magnetic moment on the atom in μB.
Element x y z (fractional)
I  0.0000  0.5000  0.0000  0.25
I  0.0000  0.0000  0.5000  0.14
I  0.5000  0.0000  0.0000  0.25
Sr  0.0000  0.0000  0.0000  -0.01
H  0.5000  0.5000  0.5000  0.38